Entry from Alexandria via LeMat-Bulk: a relaxed Ho4Th5Sc crystal (PBE).

Properties
**Space-group type**: Pmmn
**DOS(E_F)**: 1.36 states/eV per atom
**Energy of formation from the pure elements**: 0.40 eV per atom

Geometry as CIF:
```
data_Ho4Th5Sc
_chemical_formula_sum 'Ho8 Th10 Sc2'
_cell_length_a 6.722
_cell_length_b 8.933
_cell_length_c 11.226
_cell_angle_alpha 90.00
_cell_angle_beta 90.00
_cell_angle_gamma 90.00
_space_group_name_H-M_alt 'P 1'
_space_group_IT_number 1
_space_group_name_Hall 'P 1'
loop_
_atom_site_label
_atom_site_type_symbol
_atom_site_fract_x
_atom_site_fract_y
_atom_site_fract_z
Ho1 Ho 0.002 0.250 0.045
Ho2 Ho 0.250 0.558 0.492
Ho3 Ho 0.250 0.942 0.492
Ho4 Ho 0.498 0.250 0.045
Ho5 Ho 0.502 0.750 0.955
Ho6 Ho 0.750 0.058 0.508
Ho7 Ho 0.750 0.442 0.508
Ho8 Ho 0.998 0.750 0.955
Th1 Th 0.003 0.068 0.778
Th2 Th 0.003 0.432 0.778
Th3 Th 0.250 0.250 0.326
Th4 Th 0.497 0.068 0.778
Th5 Th 0.497 0.432 0.778
Th6 Th 0.503 0.568 0.222
Th7 Th 0.503 0.932 0.222
Th8 Th 0.750 0.750 0.674
Th9 Th 0.997 0.568 0.222
Th10 Th 0.997 0.932 0.222
Sc1 Sc 0.250 0.750 0.719
Sc2 Sc 0.750 0.250 0.281
```